A plane-wave DFT calculation with PBE was carried out for crystalline Y4GaHgO at its relaxed geometry.

Cell and atoms, written as POSCAR:
```
Y4GaHgO
1.0
6.5410 0.0000 0.0000
0.0000 6.5454 0.0000
-3.2705 0.0000 7.8099
Y Ga Hg O
8 2 2 2
direct
0.9280 0.2500 0.8559
0.4242 0.7500 0.8484
0.0720 0.7500 0.1441
0.5758 0.2500 0.1516
0.5000 0.5000 0.5000
0.0000 0.0000 0.5000
0.5000 0.0000 0.5000
0.0000 0.5000 0.5000
0.1183 0.2500 0.2367
0.8817 0.7500 0.7633
0.6147 0.7500 0.2294
0.3853 0.2500 0.7706
0.2523 0.7500 0.5045
0.7477 0.2500 0.4955
```

## Properties
* energy relative to the elements, uncorrected: -1.142 eV per atom
* crystal system: orthorhombic
* magnetic moment: 0.0 μB per formula unit

---

A plane-wave DFT calculation with PBE was carried out for crystalline GaHg2Os at its relaxed geometry.

Cell and atoms, written as POSCAR:
```
GaHg2Os
1.0
-1.1728 -2.3914 -2.8867
3.7392 -0.5324 -1.0781
1.9802 -9.5336 4.4211
Os Hg Ga
2 4 2
direct
0.0000 0.0000 0.0000
0.7500 0.2500 0.5000
0.6330 0.1250 0.2500
0.1170 0.6250 0.2500
0.3750 0.3670 0.7500
0.8750 0.8830 0.7500
0.5000 0.5000 0.0000
0.2500 0.7500 0.5000
```

## Properties
* crystal system: tetragonal
* magnetic moment: 1.0 μB per formula unit
* energy of formation from the pure elements: 764 meV/atom

---

A plane-wave DFT calculation with PBE was carried out for crystalline GaHgOs3 at its relaxed geometry.

Cell and atoms, written as POSCAR:
```
GaHgOs3
1.0
4.9460 0.0000 0.0000
0.0000 4.9460 0.0000
0.0000 0.0000 4.9460
Os Hg Ga
3 1 1
direct
0.0000 0.5000 0.0000
0.0000 0.0000 0.5000
0.5000 0.0000 0.0000
0.0000 0.0000 0.0000
0.5000 0.5000 0.5000
```

## Properties
* offset from the most stable computed form: 1.204 eV per atom
* crystal system: cubic
* magnetic moment: 4.7 μB per formula unit
* energy of formation from the pure elements: 3119 meV/atom

---

A plane-wave DFT calculation with PBE was carried out for crystalline Ga2HgOs2 at its relaxed geometry.

Cell and atoms, written as POSCAR:
```
Ga2HgOs2
1.0
7.2464 0.0000 0.0000
0.0000 7.2464 0.0000
0.0000 0.0000 3.0843
Os Hg Ga
4 2 4
direct
0.3600 0.8600 0.0000
0.8600 0.6400 0.0000
0.6400 0.1400 0.0000
0.1400 0.3600 0.0000
0.0000 0.0000 0.0000
0.5000 0.5000 0.0000
0.1544 0.6544 0.5000
0.6544 0.8456 0.5000
0.8456 0.3456 0.5000
0.3456 0.1544 0.5000
```

## Properties
* crystal system: tetragonal
* magnetic moment: 0.0 μB per formula unit
* energy of formation from the pure elements: 268 meV/atom

---

A plane-wave DFT calculation with PBE was carried out for crystalline GaHgOs2 at its relaxed geometry.

Cell and atoms, written as POSCAR:
```
GaHgOs2
1.0
4.0417 0.0000 0.0000
0.0000 4.0417 0.0000
2.0208 2.0208 9.3353
Os Hg Ga
4 2 2
direct
0.5299 0.1250 0.2500
0.2201 0.6250 0.2500
0.3750 0.4701 0.7500
0.8750 0.7799 0.7500
0.0000 0.0000 0.0000
0.7500 0.2500 0.5000
0.5000 0.5000 0.0000
0.2500 0.7500 0.5000
```

## Properties
* offset from the most stable computed form: 0.000 eV per atom
* crystal system: tetragonal
* magnetic moment: 0.0 μB per formula unit
* energy of formation from the pure elements: 791 meV/atom

---

A plane-wave DFT calculation with PBE was carried out for crystalline GaHgOs2 at its relaxed geometry.

Cell and atoms, written as POSCAR:
```
GaHgOs2
1.0
0.0000 3.1640 3.1640
3.1640 0.0000 3.1640
3.1640 3.1640 0.0000
Os Hg Ga
2 1 1
direct
0.2500 0.2500 0.2500
0.7500 0.7500 0.7500
0.5000 0.5000 0.5000
0.0000 0.0000 0.0000
```

## Properties
* offset from the most stable computed form: 0.010 eV per atom
* crystal system: cubic
* magnetic moment: 0.0 μB per formula unit
* energy of formation from the pure elements: 801 meV/atom

---

A plane-wave DFT calculation with PBE was carried out for crystalline GaHgOs3 at its relaxed geometry.

Cell and atoms, written as POSCAR:
```
GaHgOs3
1.0
4.5620 0.0000 0.0000
0.0000 4.5620 0.0000
0.0000 0.0000 4.5620
Os Hg Ga
3 1 1
direct
0.0000 0.5000 0.0000
0.0000 0.0000 0.5000
0.5000 0.0000 0.0000
0.5000 0.5000 0.5000
0.0000 0.0000 0.0000
```

## Properties
* offset from the most stable computed form: 0.000 eV per atom
* crystal system: cubic
* magnetic moment: 2.5 μB per formula unit
* energy of formation from the pure elements: 1915 meV/atom

---

A plane-wave DFT calculation with PBE was carried out for crystalline GaHgOsPb2 at its relaxed geometry.

Cell and atoms, written as POSCAR:
```
GaHgOsPb2
1.0
5.4368 0.0000 0.0000
0.0000 4.9232 0.0000
0.0000 0.0000 5.4368
Pb Os Hg Ga
2 1 1 1
direct
0.0000 0.0000 0.5000
0.5000 0.0000 0.0000
0.5000 0.5000 0.5000
0.0000 0.5000 0.0000
0.0000 0.0000 0.0000
```

## Properties
* crystal system: tetragonal
* magnetic moment: 2.4 μB per formula unit
* energy of formation from the pure elements: 1385 meV/atom